Here is a geometry-optimized Ho2RuPt structure from Alexandria via LeMat-Bulk. Energies are from GGA-PBE.

abc: 3.458 3.458 6.737
angles: 90.00 90.00 90.00
Positions (direct):
1 Ru 0.500 0.500 0.000
2 Ho 0.000 0.000 0.755
3 Ho 0.000 0.000 0.245
4 Pt 0.500 0.500 0.500

Spin magnetization, μB/cell: 0.0
Formation enthalpy at 0 K, meV per atom: -864
Space group: P4/mmm (123)